Entry 1:
DFT (GGA-PBE) results for a geometry-optimized Cs2GaFeBr6 structure.

Summary:
Electronic total energy = -3.353 eV/atom
Size of the total moment = 4.00 μB per cell
Crystal system = cubic

```
data_Cs2GaFeBr6
_space_group_name_H-M_alt 'P 1'
_space_group_IT_number 1
_space_group_name_Hall 'P 1'
_cell_length_a 7.738
_cell_length_b 7.738
_cell_length_c 7.738
_cell_angle_alpha 60.00
_cell_angle_beta 60.00
_cell_angle_gamma 60.00
loop_
_atom_site_label
_atom_site_fract_x
_atom_site_fract_y
_atom_site_fract_z
Cs1 0.250 0.250 0.250
Cs2 0.750 0.750 0.750
Br1 0.762 0.238 0.238
Br2 0.762 0.238 0.762
Br3 0.238 0.762 0.762
Br4 0.238 0.238 0.762
Br5 0.762 0.762 0.238
Br6 0.238 0.762 0.238
Ga1 0.500 0.500 0.500
Fe1 0.000 0.000 0.000
```

---

Entry 2:
DFT (GGA-PBE) results for a geometry-optimized Co2Ge structure.

Summary:
Electronic total energy = -4.209 eV/atom
Size of the total moment = 7.95 μB per cell
Crystal system = cubic

```
data_Co2Ge
_space_group_name_H-M_alt 'P 1'
_space_group_IT_number 1
_space_group_name_Hall 'P 1'
_cell_length_a 7.441
_cell_length_b 7.441
_cell_length_c 7.441
_cell_angle_alpha 60.00
_cell_angle_beta 60.00
_cell_angle_gamma 60.00
loop_
_atom_site_label
_atom_site_fract_x
_atom_site_fract_y
_atom_site_fract_z
Ge1 0.000 0.000 0.000
Ge2 0.750 0.750 0.750
Co1 0.375 0.875 0.875
Co2 0.875 0.875 0.375
Co3 0.875 0.875 0.875
Co4 0.875 0.375 0.875
```

---

Entry 3:
DFT (GGA-PBE) results for a geometry-optimized Y2FeNiGe4 structure.

Summary:
Electronic total energy = -6.258 eV/atom
Size of the total moment = 0.02 μB per cell
Crystal system = orthorhombic

```
data_Y2FeNiGe4
_space_group_name_H-M_alt 'P 1'
_space_group_IT_number 1
_space_group_name_Hall 'P 1'
_cell_length_a 4.205
_cell_length_b 8.594
_cell_length_c 8.594
_cell_angle_alpha 27.83
_cell_angle_beta 90.00
_cell_angle_gamma 90.00
loop_
_atom_site_label
_atom_site_fract_x
_atom_site_fract_y
_atom_site_fract_z
Ge1 0.500 0.542 0.542
Ge2 0.500 0.253 0.253
Ge3 0.000 0.750 0.750
Ge4 0.000 0.456 0.456
Y1 0.000 0.109 0.109
Y2 0.500 0.892 0.892
Fe1 0.000 0.319 0.319
Ni1 0.500 0.679 0.679
```

---

Entry 4:
DFT (GGA-PBE) results for a geometry-optimized Cu2Ag3 structure.

Summary:
Excess energy over the best structure of this formula in the dataset = 0.33 eV/f.u.
Electronic total energy = -3.084 eV/atom
ΔE_f = 0.49 eV per formula unit
Crystal system = monoclinic

```
data_Cu2Ag3
_space_group_name_H-M_alt 'P 1'
_space_group_IT_number 1
_space_group_name_Hall 'P 1'
_cell_length_a 7.447
_cell_length_b 7.447
_cell_length_c 4.838
_cell_angle_alpha 95.92
_cell_angle_beta 95.92
_cell_angle_gamma 142.15
loop_
_atom_site_label
_atom_site_fract_x
_atom_site_fract_y
_atom_site_fract_z
Ag1 0.352 0.648 0.750
Ag2 0.049 0.951 0.250
Ag3 0.154 0.846 0.750
Ag4 0.648 0.352 0.250
Ag5 0.951 0.049 0.750
Ag6 0.846 0.154 0.250
Cu1 0.450 0.550 0.250
Cu2 0.550 0.450 0.750
Cu3 0.746 0.254 0.750
Cu4 0.254 0.746 0.250
```

---

Entry 5:
DFT (GGA-PBE) results for a geometry-optimized Zr6BP2 structure.

Summary:
Electronic total energy = -8.509 eV/atom
Size of the total moment = 0.01 μB per cell
Crystal system = hexagonal

```
data_Zr6BP2
_space_group_name_H-M_alt 'P 1'
_space_group_IT_number 1
_space_group_name_Hall 'P 1'
_cell_length_a 7.185
_cell_length_b 7.185
_cell_length_c 3.638
_cell_angle_alpha 90.00
_cell_angle_beta 90.00
_cell_angle_gamma 120.00
loop_
_atom_site_label
_atom_site_fract_x
_atom_site_fract_y
_atom_site_fract_z
B1 0.000 0.000 0.000
Zr1 0.409 0.409 0.000
Zr2 0.591 0.000 0.000
Zr3 0.757 0.757 0.500
Zr4 0.000 0.243 0.500
Zr5 0.000 0.591 0.000
Zr6 0.243 0.000 0.500
P1 0.667 0.333 0.500
P2 0.333 0.667 0.500
```

---

Entry 6:
DFT (GGA-PBE) results for a geometry-optimized LaHoGeCl2 structure.

Summary:
Electronic total energy = -5.214 eV/atom
Size of the total moment = 0.00 μB per cell
Crystal system = trigonal

```
data_LaHoGeCl2
_space_group_name_H-M_alt 'P 1'
_space_group_IT_number 1
_space_group_name_Hall 'P 1'
_cell_length_a 4.224
_cell_length_b 4.224
_cell_length_c 9.745
_cell_angle_alpha 90.00
_cell_angle_beta 90.00
_cell_angle_gamma 120.00
loop_
_atom_site_label
_atom_site_fract_x
_atom_site_fract_y
_atom_site_fract_z
Cl1 0.333 0.667 0.176
Cl2 0.667 0.333 0.838
Ho1 0.667 0.333 0.327
Ge1 0.000 0.000 0.490
La1 0.333 0.667 0.669
```